# TlV2Hg2O7 | Alexandria via LeMat-Bulk | PBE+U | optimized geometry
# magnetic moment: 0.0 μB per cell
# total energy: -5.551 eV/atom
data_TlV2Hg2O7
_chemical_formula_sum 'Tl3 V6 Hg6 O21'
_cell_length_a 5.7180
_cell_length_b 5.7180
_cell_length_c 22.9091
_cell_angle_alpha 90.00
_cell_angle_beta 90.00
_cell_angle_gamma 120.00
_space_group_name_H-M_alt 'R 3 2'
_space_group_IT_number 155
_space_group_name_Hall 'R 3 2"'
loop_
_atom_site_label
_atom_site_type_symbol
_atom_site_fract_x
_atom_site_fract_y
_atom_site_fract_z
_atom_site_occupancy
Tl1 Tl 0.0000 0.0000 0.0000 1
V1 V 0.0000 0.0000 0.4197 1
Hg1 Hg 0.0000 0.0000 0.1612 1
O1 O 0.0000 0.0000 0.5000 1
O2 O 0.0118 0.4464 0.2707 1